BaY2Au | PBE-GGA | relaxed

spin magnetization: 0.00 μB per cell
energy relative to the elements: 0.04 eV per atom
energy: -4.494 eV/atom

```
data_BaY2Au
_chemical_formula_sum 'Ba1 Y2 Au1'
_symmetry_space_group_name_H-M 'P 1'
_symmetry_Int_Tables_number 1
_symmetry_space_group_name_Hall 'P 1'
_cell_length_a 5.346
_cell_length_b 5.346
_cell_length_c 4.120
_cell_angle_alpha 90.00
_cell_angle_beta 90.00
_cell_angle_gamma 90.00
loop_
_atom_site_label
_atom_site_type_symbol
_atom_site_fract_x
_atom_site_fract_y
_atom_site_fract_z
Au1 Au 0.500 0.000 0.500
Y1 Y 0.500 0.500 0.000
Y2 Y 0.000 0.000 0.000
Ba1 Ba 0.000 0.500 0.500
```